Here is Rb2NaTl3 after structural relaxation from Alexandria via LeMat-Bulk. Energies are from PBE-GGA.

Calculated volume (Å³ per atom): 38.31
Energy relative to the elements (eV per atom): -0.08
Theoretical density (g/cm³): 5.83
E (eV for the cell shown): -21.7

Structure (CIF):
```
data_Rb2NaTl3
_symmetry_space_group_name_H-M 'C 1 2/m 1'
_symmetry_Int_Tables_number 12
_cell_length_a 11.8148
_cell_length_b 6.8375
_cell_length_c 6.9386
_cell_angle_alpha 90.00
_cell_angle_beta 124.90
_cell_angle_gamma 90.00
loop_
_symmetry_equiv_pos_as_xyz
'x,y,z'
'-x,-y,-z'
'-x,y,-z'
'x,-y,z'
'x+1/2,y+1/2,z'
'-x+1/2,-y+1/2,-z'
'-x+1/2,y+1/2,-z'
'x+1/2,-y+1/2,z'
loop_
_atom_site_label
_atom_site_type_symbol
_atom_site_fract_x
_atom_site_fract_y
_atom_site_fract_z
_atom_site_occupancy
Rb1 Rb 0.1206 0.0000 0.3611 1
Na1 Na 0.0000 0.5000 0.5000 1
Tl1 Tl 0.0000 0.5000 0.0000 1
Tl2 Tl 0.2500 0.2500 0.0000 1
```